! PrGaTc GGA-PBE relaxed; values from VASP
! relative energy among the computed polymorphs	729	meV per atom
! DFT total energy	-5.049	eV per atom
! calculated density	6.540	g/cm³
! size of the total moment	0.36	μB per atom
&SYSTEM
  ibrav = 0, nat = 3, ntyp = 3
/
ATOMIC_SPECIES
Pr 140.91 Pr.upf
Ga 69.72 Ga.upf
Tc 98.00 Tc.upf
CELL_PARAMETERS angstrom
0.0000 3.3964 3.3964
3.3964 0.0000 3.3964
3.3964 3.3964 0.0000
ATOMIC_POSITIONS angstrom
Pr 0.0000 0.0000 0.0000
Ga 5.0946 5.0946 5.0946
Tc 1.6982 1.6982 1.6982

=====

! Pd2N GGA-PBE relaxed; values from VASP
! DFT total energy	-4.068	eV per atom
! calculated density	8.145	g/cm³
&SYSTEM
  ibrav = 0, nat = 6, ntyp = 2
/
ATOMIC_SPECIES
Pd 106.42 Pd.upf
N 14.01 N.upf
CELL_PARAMETERS angstrom
0.0000 3.5894 3.5894
3.5894 0.0000 3.5894
3.5894 3.5894 0.0000
ATOMIC_POSITIONS angstrom
Pd 0.0000 0.0000 0.0000
Pd 1.7947 1.7947 0.0000
Pd 1.7947 0.0000 1.7947
Pd 0.0000 1.7947 1.7947
N 2.6921 2.6921 2.6921
N 4.4868 4.4868 4.4868

=====

! LuCdCuAs GGA-PBE relaxed; values from VASP
! relative energy among the computed polymorphs	0	meV per atom
! DFT total energy	-3.603	eV per atom
! calculated density	8.994	g/cm³
! size of the total moment	0.00	μB per atom
&SYSTEM
  ibrav = 0, nat = 4, ntyp = 4
/
ATOMIC_SPECIES
Lu 174.97 Lu.upf
Cd 112.41 Cd.upf
Cu 63.55 Cu.upf
As 74.92 As.upf
CELL_PARAMETERS angstrom
0.0000 3.4002 3.4002
3.4002 0.0000 3.4002
3.4002 3.4002 0.0000
ATOMIC_POSITIONS angstrom
Lu 0.0000 0.0000 0.0000
Cd 5.1003 5.1003 5.1003
Cu 3.4002 3.4002 3.4002
As 1.7001 1.7001 1.7001

=====

The highest calculated density belongs to which entry?
LuCdCuAs

=====

Look up the calculated density of the first one.
6.540 g/cm³